## Sc2SbCl (PBE)

Data for an optimized crystal structure of Sc2SbCl.

Properties
Space group = Pm
V = 92.1 Å³ per cell
Total magnetization = 0.000 Bohr magnetons per cell
ΔE_f (raw) = -989.8 meV per atom
ρ = 4.45 g/cm3
D(E_F) = 1.85 states/eV/f.u.

Lattice parameters (Å, degrees): 3.7136 4.8388 5.4518 90.00 109.89 90.00
Fractional coordinates of all 4 atoms:
Sc: 0.0000 0.0000 0.0000
Sc: 0.2908 0.5000 0.5790
Sb: 0.7193 0.0000 0.4377
Cl: 0.9968 0.5000 0.9899

## ScSbCl2 (PBE)

Data for an optimized crystal structure of ScSbCl2.

Properties
Space group = Pm
V = 117.8 Å³ per cell
Total magnetization = 0.000 Bohr magnetons per cell
ΔE_f (raw) = -1098.9 meV per atom
ρ = 3.35 g/cm3
D(E_F) = 0.49 states/eV/f.u.

Lattice parameters (Å, degrees): 4.6023 3.6996 6.9784 90.00 97.48 90.00
Fractional coordinates of all 4 atoms:
Sc: 0.0000 0.0000 0.0000
Sb: 0.5084 0.5000 0.0667
Cl: 0.2139 0.0000 0.3393
Cl: 0.8105 0.5000 0.7439

## ScSbCl2 (PBE)

Data for an optimized crystal structure of ScSbCl2.

Properties
Space group = R3m
V = 99.6 Å³ per cell
Total magnetization = 0.062 Bohr magnetons per cell
ΔE_f (raw) = -905.3 meV per atom
ρ = 3.96 g/cm3
D(E_F) = 4.36 states/eV/f.u.

Lattice parameters (Å, degrees): 9.4760 9.4760 9.4760 21.44 21.44 21.44
Fractional coordinates of all 4 atoms:
Sc: 0.0000 0.0000 0.0000
Sb: 0.7476 0.7476 0.7476
Cl: 0.2761 0.2761 0.2761
Cl: 0.4898 0.4898 0.4898

## ScSbCl2 (PBE)

Data for an optimized crystal structure of ScSbCl2.

Properties
Space group = P4mm
V = 93.2 Å³ per cell
Total magnetization = 0.000 Bohr magnetons per cell
ΔE_f (raw) = -935.3 meV per atom
ρ = 4.23 g/cm3
D(E_F) = 1.38 states/eV/f.u.

Lattice parameters (Å, degrees): 3.5527 3.5527 7.3832 90.00 90.00 90.00
Fractional coordinates of all 4 atoms:
Sc: 0.0000 0.0000 0.0000
Sb: 0.5000 0.5000 0.6750
Cl: 0.0000 0.0000 0.3397
Cl: 0.5000 0.5000 0.1044

## ScSbCl (PBE)

Data for an optimized crystal structure of ScSbCl.

Properties
Space group = P3m1
V = 84.0 Å³ per cell
Total magnetization = 0.000 Bohr magnetons per cell
ΔE_f (raw) = -1136.2 meV per atom
ρ = 4.00 g/cm3
D(E_F) = 1.72 states/eV/f.u.

Lattice parameters (Å, degrees): 3.5506 3.5506 7.6929 90.00 90.00 120.00
Fractional coordinates of all 3 atoms:
Sc: 0.0000 0.0000 0.0000
Sb: 0.3333 0.6667 0.7165
Cl: 0.6667 0.3333 0.2019

## Sc2SbCl (PBE)

Data for an optimized crystal structure of Sc2SbCl.

Properties
Space group = P4mm
V = 101.9 Å³ per cell
Total magnetization = 0.001 Bohr magnetons per cell
ΔE_f (raw) = -808.5 meV per atom
ρ = 4.03 g/cm3
D(E_F) = 2.82 states/eV/f.u.

Lattice parameters (Å, degrees): 3.2920 3.2920 9.3995 90.00 90.00 90.00
Fractional coordinates of all 4 atoms:
Sc: 0.0000 0.0000 0.0000
Sc: 0.5000 0.5000 0.2494
Sb: 0.5000 0.5000 0.7723
Cl: 0.0000 0.0000 0.3900

## Sc2SbCl (PBE)

Data for an optimized crystal structure of Sc2SbCl.

Properties
Space group = Imm2
V = 89.9 Å³ per cell
Total magnetization = 0.001 Bohr magnetons per cell
ΔE_f (raw) = -748.3 meV per atom
ρ = 4.57 g/cm3
D(E_F) = 3.40 states/eV/f.u.

Lattice parameters (Å, degrees): 6.3116 6.3116 6.3116 150.17 133.67 56.08
Fractional coordinates of all 4 atoms:
Sc: 0.0000 0.0000 0.0000
Sc: 0.7386 0.2386 0.5000
Sb: 0.2549 0.7549 0.5000
Cl: 0.5399 0.5399 0.0000

## Sc2SbCl (PBE)

Data for an optimized crystal structure of Sc2SbCl.

Properties
Space group = Immm
V = 89.0 Å³ per cell
Total magnetization = 0.002 Bohr magnetons per cell
ΔE_f (raw) = -873.5 meV per atom
ρ = 4.61 g/cm3
D(E_F) = 3.92 states/eV/f.u.

Lattice parameters (Å, degrees): 5.1703 5.1703 5.1703 133.24 112.57 86.05
Fractional coordinates of all 4 atoms:
Sc: 0.2141 0.2141 0.0000
Sc: 0.7859 0.7859 0.0000
Sb: 0.5000 0.0000 0.5000
Cl: 0.0000 0.5000 0.5000

## ScSbCl2 (PBE)

Data for an optimized crystal structure of ScSbCl2.

Properties
Space group = P4/mmm
V = 114.0 Å³ per cell
Total magnetization = 0.000 Bohr magnetons per cell
ΔE_f (raw) = -1133.6 meV per atom
ρ = 3.46 g/cm3
D(E_F) = 2.78 states/eV/f.u.

Lattice parameters (Å, degrees): 3.1386 3.1386 11.5716 90.00 90.00 90.00
Fractional coordinates of all 4 atoms:
Sc: 0.0000 0.0000 0.0000
Sb: 0.0000 0.0000 0.5000
Cl: 0.5000 0.5000 0.1324
Cl: 0.5000 0.5000 0.8676

## ScSbCl (PBE)

Data for an optimized crystal structure of ScSbCl.

Properties
Space group = I4mm
V = 77.3 Å³ per cell
Total magnetization = 0.305 Bohr magnetons per cell
ΔE_f (raw) = -1061.7 meV per atom
ρ = 4.34 g/cm3
D(E_F) = 1.89 states/eV/f.u.

Lattice parameters (Å, degrees): 7.7390 7.7390 7.7390 155.88 155.88 34.37
Fractional coordinates of all 3 atoms:
Sc: 0.0000 0.0000 0.0000
Sb: 0.3526 0.3526 0.0000
Cl: 0.6002 0.6002 0.0000

## Sc2SbCl (PBE)

Data for an optimized crystal structure of Sc2SbCl.

Properties
Space group = P2/m
V = 91.8 Å³ per cell
Total magnetization = 0.000 Bohr magnetons per cell
ΔE_f (raw) = -944.2 meV per atom
ρ = 4.47 g/cm3
D(E_F) = 2.90 states/eV/f.u.

Lattice parameters (Å, degrees): 4.0248 4.0258 5.6630 90.00 90.17 90.00
Fractional coordinates of all 4 atoms:
Sc: 0.0000 0.0000 0.0000
Sc: 0.5000 0.5000 0.5000
Sb: 0.0000 0.0000 0.5000
Cl: 0.5000 0.5000 0.0000

## ScSb2Cl (PBE)

Data for an optimized crystal structure of ScSb2Cl.

Properties
Space group = F-43m
V = 98.0 Å³ per cell
Total magnetization = 0.006 Bohr magnetons per cell
ΔE_f (raw) = -323.0 meV per atom
ρ = 5.49 g/cm3
D(E_F) = 5.39 states/eV/f.u.

Lattice parameters (Å, degrees): 5.1758 5.1758 5.1758 60.00 60.00 60.00
Fractional coordinates of all 4 atoms:
Sc: 0.0000 0.0000 0.0000
Sb: 0.5000 0.5000 0.5000
Sb: 0.7500 0.7500 0.7500
Cl: 0.2500 0.2500 0.2500

## Sc2SbCl (PBE)

Data for an optimized crystal structure of Sc2SbCl.

Properties
Space group = F-43m
V = 94.3 Å³ per cell
Total magnetization = 2.002 Bohr magnetons per cell
ΔE_f (raw) = -202.9 meV per atom
ρ = 4.35 g/cm3
D(E_F) = 6.14 states/eV/f.u.

Lattice parameters (Å, degrees): 5.1089 5.1089 5.1089 60.00 60.00 60.00
Fractional coordinates of all 4 atoms:
Sc: 0.0000 0.0000 0.0000
Sc: 0.2500 0.2500 0.2500
Sb: 0.5000 0.5000 0.5000
Cl: 0.7500 0.7500 0.7500

## ScSb2Cl (PBE)

Data for an optimized crystal structure of ScSb2Cl.

Properties
Space group = I-42d
V = 211.0 Å³ per cell
Total magnetization = 0.000 Bohr magnetons per cell
ΔE_f (raw) = -440.1 meV per atom
ρ = 5.10 g/cm3
D(E_F) = 1.38 states/eV/f.u.

Lattice parameters (Å, degrees): 11.7466 11.7466 11.7466 158.84 158.84 30.10
Fractional coordinates of all 8 atoms:
Sc: 0.0000 0.0000 0.0000
Sc: 0.7500 0.2500 0.5000
Sb: 0.0917 0.6250 0.9667
Sb: 0.3750 0.3417 0.4667
Sb: 0.6583 0.1250 0.0333
Sb: 0.8750 0.9083 0.5333
Cl: 0.2500 0.7500 0.5000
Cl: 0.5000 0.5000 0.0000

## ScSb2Cl (PBE)

Data for an optimized crystal structure of ScSb2Cl.

Properties
Space group = R-3m
V = 98.2 Å³ per cell
Total magnetization = 0.000 Bohr magnetons per cell
ΔE_f (raw) = -272.4 meV per atom
ρ = 5.48 g/cm3
D(E_F) = 3.15 states/eV/f.u.

Lattice parameters (Å, degrees): 9.6668 9.6668 9.6668 20.63 20.63 20.63
Fractional coordinates of all 4 atoms:
Sc: 0.0000 0.0000 0.0000
Sb: 0.2516 0.2516 0.2516
Sb: 0.7484 0.7484 0.7484
Cl: 0.5000 0.5000 0.5000

## Sc2SbCl (PBE)

Data for an optimized crystal structure of Sc2SbCl.

Properties
Space group = R3m
V = 106.7 Å³ per cell
Total magnetization = 1.603 Bohr magnetons per cell
ΔE_f (raw) = -794.0 meV per atom
ρ = 3.84 g/cm3
D(E_F) = 1.05 states/eV/f.u.

Lattice parameters (Å, degrees): 10.7947 10.7947 10.7947 18.16 18.16 18.16
Fractional coordinates of all 4 atoms:
Sc: 0.0000 0.0000 0.0000
Sc: 0.2518 0.2518 0.2518
Sb: 0.7408 0.7408 0.7408
Cl: 0.5330 0.5330 0.5330

## Sc2SbCl (PBE)

Data for an optimized crystal structure of Sc2SbCl.

Properties
Space group = I-4m2
V = 96.1 Å³ per cell
Total magnetization = 1.678 Bohr magnetons per cell
ΔE_f (raw) = -665.2 meV per atom
ρ = 4.27 g/cm3
D(E_F) = 2.77 states/eV/f.u.

Lattice parameters (Å, degrees): 6.6854 6.6854 6.6854 145.36 145.36 49.80
Fractional coordinates of all 4 atoms:
Sc: 0.0000 0.0000 0.0000
Sc: 0.7500 0.2500 0.5000
Sb: 0.5000 0.5000 0.0000
Cl: 0.2500 0.7500 0.5000

## ScSb2Cl (PBE)

Data for an optimized crystal structure of ScSb2Cl.

Properties
Space group = P2/m
V = 97.7 Å³ per cell
Total magnetization = 0.000 Bohr magnetons per cell
ΔE_f (raw) = -485.1 meV per atom
ρ = 5.50 g/cm3
D(E_F) = 1.25 states/eV/f.u.

Lattice parameters (Å, degrees): 4.1746 4.1638 5.6218 90.00 90.09 90.00
Fractional coordinates of all 4 atoms:
Sc: 0.0000 0.0000 0.0000
Sb: 0.0000 0.5000 0.5000
Sb: 0.5000 0.0000 0.5000
Cl: 0.5000 0.5000 0.0000

## ScSbCl (PBE)

Data for an optimized crystal structure of ScSbCl.

Properties
Space group = P-6m2
V = 66.5 Å³ per cell
Total magnetization = 0.000 Bohr magnetons per cell
ΔE_f (raw) = -865.4 meV per atom
ρ = 5.05 g/cm3
D(E_F) = 2.53 states/eV/f.u.

Lattice parameters (Å, degrees): 4.7314 4.7314 3.4313 90.00 90.00 120.00
Fractional coordinates of all 3 atoms:
Sc: 0.0000 0.0000 0.0000
Sb: 0.3333 0.6667 0.5000
Cl: 0.6667 0.3333 0.0000

## ScSbCl (PBE)

Data for an optimized crystal structure of ScSbCl.

Properties
Space group = F-43m
V = 89.2 Å³ per cell
Total magnetization = 0.002 Bohr magnetons per cell
ΔE_f (raw) = -166.7 meV per atom
ρ = 3.76 g/cm3
D(E_F) = 5.43 states/eV/f.u.

Lattice parameters (Å, degrees): 5.0157 5.0157 5.0157 60.00 60.00 60.00
Fractional coordinates of all 3 atoms:
Sc: 0.0000 0.0000 0.0000
Sb: 0.7500 0.7500 0.7500
Cl: 0.5000 0.5000 0.5000

## ScSbCl2 (PBE)

Data for an optimized crystal structure of ScSbCl2.

Properties
Space group = I4/mmm
V = 90.7 Å³ per cell
Total magnetization = 0.000 Bohr magnetons per cell
ΔE_f (raw) = -592.6 meV per atom
ρ = 4.35 g/cm3
D(E_F) = 2.13 states/eV/f.u.

Lattice parameters (Å, degrees): 5.5903 5.5903 5.5903 133.39 133.39 68.04
Fractional coordinates of all 4 atoms:
Sc: 0.0000 0.0000 0.0000
Sb: 0.5000 0.5000 0.0000
Cl: 0.2500 0.7500 0.5000
Cl: 0.7500 0.2500 0.5000

## ScSb2Cl (PBE)

Data for an optimized crystal structure of ScSb2Cl.

Properties
Space group = Fm-3m
V = 98.3 Å³ per cell
Total magnetization = 0.000 Bohr magnetons per cell
ΔE_f (raw) = -147.2 meV per atom
ρ = 5.47 g/cm3
D(E_F) = 2.92 states/eV/f.u.

Lattice parameters (Å, degrees): 5.1810 5.1810 5.1810 60.00 60.00 60.00
Fractional coordinates of all 4 atoms:
Sc: 0.0000 0.0000 0.0000
Sb: 0.2500 0.2500 0.2500
Sb: 0.7500 0.7500 0.7500
Cl: 0.5000 0.5000 0.5000

## ScSbCl2 (PBE)

Data for an optimized crystal structure of ScSbCl2.

Properties
Space group = Cmmm
V = 91.5 Å³ per cell
Total magnetization = 0.000 Bohr magnetons per cell
ΔE_f (raw) = -464.0 meV per atom
ρ = 4.31 g/cm3
D(E_F) = 1.59 states/eV/f.u.

Lattice parameters (Å, degrees): 5.4836 5.4836 3.2533 90.00 90.00 110.75
Fractional coordinates of all 4 atoms:
Sc: 0.0000 0.0000 0.0000
Sb: 0.5000 0.5000 0.0000
Cl: 0.0000 0.5000 0.5000
Cl: 0.5000 0.0000 0.5000

## Sc2SbCl (PBE)

Data for an optimized crystal structure of Sc2SbCl.

Properties
Space group = I-42d
V = 234.8 Å³ per cell
Total magnetization = 0.000 Bohr magnetons per cell
ΔE_f (raw) = -674.5 meV per atom
ρ = 3.50 g/cm3
D(E_F) = 3.84 states/eV/f.u.

Lattice parameters (Å, degrees): 7.6815 7.6815 7.6815 133.45 133.45 67.95
Fractional coordinates of all 8 atoms:
Sc: 0.0929 0.6250 0.9679
Sc: 0.3750 0.3429 0.4679
Sc: 0.6571 0.1250 0.0321
Sc: 0.8750 0.9071 0.5321
Sb: 0.2500 0.7500 0.5000
Sb: 0.5000 0.5000 0.0000
Cl: 0.0000 0.0000 0.0000
Cl: 0.7500 0.2500 0.5000

## Sc2SbCl (PBE)

Data for an optimized crystal structure of Sc2SbCl.

Properties
Space group = C2/m
V = 86.5 Å³ per cell
Total magnetization = 1.301 Bohr magnetons per cell
ΔE_f (raw) = -830.6 meV per atom
ρ = 4.74 g/cm3
D(E_F) = 2.71 states/eV/f.u.

Lattice parameters (Å, degrees): 5.0303 5.0303 3.4190 90.09 90.09 90.01
Fractional coordinates of all 4 atoms:
Sc: 0.0000 0.5000 0.0000
Sc: 0.5000 0.0000 0.0000
Sb: 0.0000 0.0000 0.5000
Cl: 0.5000 0.5000 0.5000

## ScSb2Cl (PBE)

Data for an optimized crystal structure of ScSb2Cl.

Properties
Space group = Cm
V = 129.7 Å³ per cell
Total magnetization = 0.000 Bohr magnetons per cell
ΔE_f (raw) = -749.2 meV per atom
ρ = 4.15 g/cm3
D(E_F) = 0.75 states/eV/f.u.

Lattice parameters (Å, degrees): 8.3009 8.3009 4.8005 101.83 101.83 23.65
Fractional coordinates of all 4 atoms:
Sc: 0.0000 0.0000 0.0000
Sb: 0.5532 0.5532 0.5452
Sb: 0.6758 0.6758 0.2233
Cl: 0.3837 0.3837 0.8979

## ScTcSbCl2 (PBE)

Data for an optimized crystal structure of ScTcSbCl2.

Properties
Space group = P4/mmm
V = 159.0 Å³ per cell
Total magnetization = 3.242 Bohr magnetons per cell
ΔE_f (raw) = 779.1 meV per atom
ρ = 3.50 g/cm3
D(E_F) = 4.08 states/eV/f.u.

Lattice parameters (Å, degrees): 5.1492 5.1492 5.9972 90.00 90.00 90.00
Fractional coordinates of all 5 atoms:
Sc: 0.0000 0.0000 0.0000
Tc: 0.5000 0.5000 0.0000
Sb: 0.0000 0.0000 0.5000
Cl: 0.0000 0.5000 0.5000
Cl: 0.5000 0.0000 0.5000

## ScSbTe2Cl (PBE)

Data for an optimized crystal structure of ScSbTe2Cl.

Properties
Space group = P4/mmm
V = 151.3 Å³ per cell
Total magnetization = 0.000 Bohr magnetons per cell
ΔE_f (raw) = 379.2 meV per atom
ρ = 5.02 g/cm3
D(E_F) = 2.43 states/eV/f.u.

Lattice parameters (Å, degrees): 5.4484 5.4484 5.0979 90.00 90.00 90.00
Fractional coordinates of all 5 atoms:
Sc: 0.0000 0.0000 0.0000
Sb: 0.5000 0.5000 0.0000
Te: 0.0000 0.5000 0.5000
Te: 0.5000 0.0000 0.5000
Cl: 0.5000 0.5000 0.5000

## ScSbTe2Cl (PBE)

Data for an optimized crystal structure of ScSbTe2Cl.

Properties
Space group = P4/mmm
V = 165.2 Å³ per cell
Total magnetization = 0.001 Bohr magnetons per cell
ΔE_f (raw) = -126.6 meV per atom
ρ = 4.60 g/cm3
D(E_F) = 5.02 states/eV/f.u.

Lattice parameters (Å, degrees): 5.4153 5.4153 5.6318 90.00 90.00 90.00
Fractional coordinates of all 5 atoms:
Sc: 0.0000 0.0000 0.0000
Sb: 0.0000 0.0000 0.5000
Te: 0.0000 0.5000 0.0000
Te: 0.5000 0.0000 0.0000
Cl: 0.5000 0.5000 0.5000

## Sb2SeCl (PBE)

Data for an optimized crystal structure of Sb2SeCl.

Properties
Space group = F-43m
V = 95.4 Å³ per cell
Total magnetization = 0.001 Bohr magnetons per cell
ΔE_f (raw) = 107.3 meV per atom
ρ = 6.23 g/cm3
D(E_F) = 5.40 states/eV/f.u.

Lattice parameters (Å, degrees): 5.1288 5.1288 5.1288 60.00 60.00 60.00
Fractional coordinates of all 4 atoms:
Sb: 0.0000 0.0000 0.0000
Sb: 0.2500 0.2500 0.2500
Se: 0.5000 0.5000 0.5000
Cl: 0.7500 0.7500 0.7500